Entry 1:
Tb5ThAl4: relaxed, PBE.

Cell lengths 3.4565, 3.4565, 21.0596 Å; angles 90.00, 90.00, 90.00 degrees
Last column: nearest neighbours and their distance in Å.
Space group P4/mmm (No. 123)
One atom of each set of equivalent atoms:
Tb: 0.0000 0.0000 0.0000 (multiplicity 1)  8 Al 3.15, 4 Tb 3.46
Tb: 0.0000 0.0000 0.1889 (multiplicity 2)  8 Al 3.15-3.17, 4 Tb 3.46
Tb: 0.0000 0.0000 0.3785 (multiplicity 2)  4 Al 3.15, 4 Tb 3.46
Th: 0.5000 0.5000 0.5000 (multiplicity 1)  4 Th 3.46, 8 Tb 3.54
Al: 0.5000 0.5000 0.0947 (multiplicity 2)  8 Tb 3.15, 4 Al 3.46
Al: 0.5000 0.5000 0.2844 (multiplicity 2)  8 Tb 3.15-3.17, 4 Al 3.46

DFT total energy in eV per atom: -4.864
Formation energy in eV/f.u.: -3.1



Entry 2:
Tb4ThAl: relaxed, PBE.

Cell lengths 3.5740, 3.5740, 13.9179 Å; angles 90.00, 90.00, 90.00 degrees
Last column: nearest neighbours and their distance in Å.
Space group P4/mmm (No. 123)
One atom of each set of equivalent atoms:
Tb: 0.0000 0.0000 0.1345 (multiplicity 2)  4 Al 3.14
Tb: 0.5000 0.5000 0.3265 (multiplicity 2)  4 Th 3.50, 8 Tb 3.57-3.68
Th: 0.0000 0.0000 0.5000 (multiplicity 1)  8 Tb 3.50, 4 Th 3.57
Al: 0.5000 0.5000 0.0000 (multiplicity 1)  8 Tb 3.14

DFT total energy in eV per atom: -5.059
Formation energy in eV/f.u.: -0.7



Entry 3:
TbTh2Al6: relaxed, PBE.

Cell lengths 7.8994, 7.8994, 3.7406 Å; angles 90.00, 90.00, 120.00 degrees
Last column: nearest neighbours and their distance in Å.
Space group P6/mmm (No. 191)
One atom of each set of equivalent atoms:
Tb: 0.0000 0.0000 0.0000 (multiplicity 1)  12 Al 3.22
Th: 0.3333 0.6667 0.0000 (multiplicity 2)  12 Al 3.24
Al: 0.0000 0.3314 0.5000 (multiplicity 6)  3 Al 2.62-2.66

DFT total energy in eV per atom: -5.104
Formation energy in eV/f.u.: -4.0